[1]
Computed, not measured: crystalline Hg4SbTe2I at its relaxed geometry at the GGA-PBE level of DFT.

It has space group Imma (No. 74), with a = 8.718 Å, b = 8.859 Å, c = 12.414 Å, α = 90.00°, β = 90.00° and γ = 90.00°. The distinct sites, in fractional coordinates, are Hg at (0.000, 0.005, 0.243), Hg at (0.232, 0.250, 0.005), Sb at (0.250, 0.250, 0.250), Te at (0.000, 0.000, 0.000), Te at (0.250, 0.250, 0.750) and I at (0.000, 0.000, 0.500).

As for the theoretical density: 9.05 g/cm³. For the uncorrected formation energy, the calculation gives 14 meV/atom.

---

[2]
Computed, not measured: crystalline BeZn3Sb at its relaxed geometry at the GGA-PBE level of DFT.

It has space group Pm-3m (No. 221), with a = 4.478 Å, b = 4.478 Å, c = 4.478 Å, α = 90.00°, β = 90.00° and γ = 90.00°. The distinct sites, in fractional coordinates, are Be at (0.000, 0.000, 0.000), Zn at (0.000, 0.000, 0.500) and Sb at (0.500, 0.500, 0.500).

As for the theoretical density: 6.05 g/cm³. For the uncorrected formation energy, the calculation gives 384 meV/atom.

---

[3]
Computed, not measured: crystalline NaTlGe at its relaxed geometry at the GGA-PBE level of DFT.

It has space group P-1 (No. 2), with a = 3.958 Å, b = 5.542 Å, c = 7.781 Å, α = 96.76°, β = 90.00° and γ = 110.19°. The distinct sites, in fractional coordinates, are Na at (0.045, 0.094, 0.215), Tl at (0.348, 0.702, 0.427) and Ge at (0.316, 0.636, 0.047).

As for the theoretical density: 6.27 g/cm³. Its energy of formation is -0.01 eV per atom.

---

[4]
Computed, not measured: crystalline Pm2YIn3Se6 at its relaxed geometry at the GGA-PBE level of DFT.

It has space group C2/m (No. 12), with a = 7.315 Å, b = 12.667 Å, c = 8.106 Å, α = 90.00°, β = 107.49° and γ = 90.00°. The distinct sites, in fractional coordinates, are Pm at (0.000, 0.167, 0.000), Y at (0.000, 0.500, 0.000), In at (0.000, 0.000, 0.500), In at (0.000, 0.332, 0.500), Se at (0.234, 0.336, 0.212) and Se at (0.244, 0.000, 0.214).

As for the theoretical density: 5.55 g/cm³. For the uncorrected formation energy, the calculation gives -1300 meV/atom.

---

[5]
Computed, not measured: crystalline CaPrHo at its relaxed geometry at the GGA-PBE level of DFT.

It has space group P3m1 (No. 156), with a = 3.6749 Å, b = 3.6749 Å, c = 9.1709 Å, α = 90.00°, β = 90.00° and γ = 120.00°. The distinct sites, in fractional coordinates, are Ca at (0.0000, 0.0000, 0.0000), Pr at (0.3333, 0.6667, 0.6449) and Ho at (0.6667, 0.3333, 0.3386).

As for the theoretical density: 5.36 g/cm³. Its energy of formation is 0.05 eV per atom.

---

[6]
Computed, not measured: crystalline GaRuPb2O6 at its relaxed geometry at the GGA-PBE level of DFT.

It has space group I4mm (No. 107), with a = 5.486 Å, b = 5.486 Å, c = 8.980 Å, α = 90.00°, β = 90.00° and γ = 90.00°. The distinct sites, in fractional coordinates, are Ga at (0.000, 0.000, 0.000), Ru at (0.000, 0.000, 0.455), Pb at (0.000, 0.500, 0.252), O at (0.000, 0.000, 0.208), O at (0.000, 0.000, 0.659) and O at (0.244, 0.244, 0.929).

As for the theoretical density: 8.37 g/cm³. For the uncorrected formation energy, the calculation gives -1160 meV/atom.

---

| no. | final energy (eV per cell) |
| --- | --- |
| 1 | -52.2 |
| 2 | -9.8 |
| 3 | -16.6 |
| 4 | -121.4 |
| 5 | -11.2 |
| 6 | -122.1 |